[1]
A relaxed structure of PmPuSbBr, computed with PBE-GGA.

## Properties
Raw formation energy, eV per formula unit: -3.61

Lattice parameters (Å, degrees): 7.602 7.602 7.602 90.00 90.00 90.00
Fractional positions:
Pm: 0.000 0.000 0.000
Pm: 0.000 0.500 0.500
Pm: 0.500 0.000 0.500
Pm: 0.500 0.500 0.000
Pu: 0.000 0.000 0.500
Pu: 0.000 0.500 0.000
Pu: 0.500 0.000 0.000
Pu: 0.500 0.500 0.500
Sb: 0.250 0.250 0.250
Sb: 0.250 0.750 0.750
Sb: 0.750 0.250 0.750
Sb: 0.750 0.750 0.250
Br: 0.250 0.250 0.750
Br: 0.250 0.750 0.250
Br: 0.750 0.250 0.250
Br: 0.750 0.750 0.750

***

[2]
A relaxed structure of Rb2PmBr4, computed with PBE-GGA.

## Properties
Raw formation energy, eV per formula unit: -11.36

Lattice parameters (Å, degrees): 5.770 5.770 17.574 90.00 90.00 90.00
Fractional positions:
Rb: 0.000 0.000 0.139
Rb: 0.000 0.000 0.861
Rb: 0.500 0.500 0.361
Rb: 0.500 0.500 0.639
Pm: 0.000 0.000 0.500
Pm: 0.500 0.500 0.000
Br: 0.000 0.000 0.332
Br: 0.000 0.000 0.668
Br: 0.000 0.500 0.000
Br: 0.000 0.500 0.500
Br: 0.500 0.000 0.000
Br: 0.500 0.000 0.500
Br: 0.500 0.500 0.168
Br: 0.500 0.500 0.832

***

[3]
A relaxed structure of Rb2PmBr5, computed with PBE-GGA.

## Properties
Energy relative to the lowest polymorph listed for this composition, eV/atom: 0.0911
Raw formation energy, eV per formula unit: -14.14

Lattice parameters (Å, degrees): 12.727 8.412 8.503 90.00 123.96 90.00
Fractional positions:
Rb: 0.000 0.000 0.000
Rb: 0.011 0.500 0.556
Rb: 0.500 0.500 0.000
Rb: 0.511 0.000 0.556
Pm: 0.249 0.500 0.267
Pm: 0.749 0.000 0.267
Br: 0.149 0.262 0.382
Br: 0.149 0.738 0.382
Br: 0.228 0.278 0.996
Br: 0.228 0.722 0.996
Br: 0.490 0.500 0.578
Br: 0.649 0.238 0.382
Br: 0.649 0.762 0.382
Br: 0.728 0.222 0.996
Br: 0.728 0.778 0.996
Br: 0.990 0.000 0.578

***

[4]
A relaxed structure of RbPmBr4, computed with PBE-GGA.

## Properties
Raw formation energy, eV per formula unit: -10.80

Lattice parameters (Å, degrees): 8.563 8.563 7.285 97.06 97.06 117.61
Fractional positions:
Rb: 0.140 0.860 0.750
Rb: 0.860 0.140 0.250
Pm: 0.499 0.501 0.750
Pm: 0.501 0.499 0.250
Br: 0.175 0.295 0.926
Br: 0.246 0.554 0.470
Br: 0.295 0.175 0.426
Br: 0.446 0.754 0.030
Br: 0.554 0.246 0.970
Br: 0.705 0.825 0.574
Br: 0.754 0.446 0.530
Br: 0.825 0.705 0.074

***

[5]
A relaxed structure of Rb2PmBr6, computed with PBE-GGA.

## Properties
Energy relative to the lowest polymorph listed for this composition, eV/atom: 0.0000
Raw formation energy, eV per formula unit: -13.82

Lattice parameters (Å, degrees): 4.618 8.843 8.843 120.12 90.00 90.00
Fractional positions:
Rb: 0.000 0.167 0.833
Rb: 0.000 0.833 0.167
Pm: 0.500 0.501 0.501
Br: 0.000 0.268 0.500
Br: 0.000 0.500 0.268
Br: 0.000 0.733 0.733
Br: 0.500 0.153 0.153
Br: 0.500 0.500 0.848
Br: 0.500 0.848 0.500

***

[6]
A relaxed structure of RbPmBr4, computed with PBE-GGA.

## Properties
Raw formation energy, eV per formula unit: -10.80

Lattice parameters (Å, degrees): 8.827 8.827 7.290 107.14 107.14 110.35
Fractional positions:
Rb: 0.138 0.862 0.750
Rb: 0.862 0.138 0.250
Pm: 0.497 0.503 0.250
Pm: 0.503 0.497 0.750
Br: 0.176 0.299 0.809
Br: 0.242 0.554 0.431
Br: 0.299 0.176 0.309
Br: 0.446 0.758 0.069
Br: 0.554 0.242 0.931
Br: 0.701 0.824 0.691
Br: 0.758 0.446 0.569
Br: 0.824 0.701 0.191

***

[7]
A relaxed structure of RbPmBr3, computed with PBE-GGA.

## Properties
Energy relative to the lowest polymorph listed for this composition, eV/atom: 0.0000
Raw formation energy, eV per formula unit: -8.46

Lattice parameters (Å, degrees): 9.793 4.158 17.025 90.00 90.00 90.00
Fractional positions:
Rb: 0.063 0.250 0.175
Rb: 0.437 0.750 0.675
Rb: 0.563 0.250 0.325
Rb: 0.937 0.750 0.825
Pm: 0.133 0.750 0.453
Pm: 0.367 0.250 0.953
Pm: 0.633 0.750 0.047
Pm: 0.867 0.250 0.547
Br: 0.050 0.750 0.624
Br: 0.166 0.750 0.005
Br: 0.230 0.250 0.799
Br: 0.270 0.750 0.299
Br: 0.334 0.250 0.505
Br: 0.450 0.250 0.124
Br: 0.550 0.750 0.876
Br: 0.666 0.750 0.495
Br: 0.730 0.250 0.701
Br: 0.770 0.750 0.201
Br: 0.834 0.250 0.995
Br: 0.950 0.250 0.376

***

[8]
A relaxed structure of Rb2PmBr6, computed with PBE-GGA.

## Properties
Energy relative to the lowest polymorph listed for this composition, eV/atom: 0.0096
Raw formation energy, eV per formula unit: -13.73

Lattice parameters (Å, degrees): 9.416 9.416 9.416 147.56 127.20 63.35
Fractional positions:
Rb: 0.169 0.169 0.000
Rb: 0.831 0.831 0.000
Pm: 0.500 0.500 0.000
Br: 0.133 0.356 0.777
Br: 0.297 0.000 0.297
Br: 0.421 0.644 0.777
Br: 0.579 0.356 0.223
Br: 0.703 0.000 0.703
Br: 0.867 0.644 0.223

***

[9]
A relaxed structure of Rb6Pm3Br14, computed with PBE-GGA.

## Properties
Raw formation energy, eV per formula unit: -39.78

Lattice parameters (Å, degrees): 12.174 12.174 7.732 90.00 90.00 120.00
Fractional positions:
Rb: 0.044 0.471 0.000
Rb: 0.308 0.194 0.533
Rb: 0.427 0.956 0.000
Rb: 0.529 0.573 0.000
Rb: 0.806 0.113 0.533
Rb: 0.887 0.692 0.533
Pm: 0.000 0.000 0.092
Pm: 0.333 0.667 0.560
Pm: 0.667 0.333 0.186
Br: 0.000 0.000 0.728
Br: 0.093 0.235 0.249
Br: 0.142 0.907 0.249
Br: 0.180 0.748 0.724
Br: 0.252 0.433 0.724
Br: 0.333 0.667 0.196
Br: 0.440 0.247 0.974
Br: 0.531 0.109 0.401
Br: 0.567 0.820 0.724
Br: 0.578 0.469 0.401
Br: 0.753 0.193 0.974
Br: 0.765 0.858 0.249
Br: 0.807 0.560 0.974
Br: 0.891 0.422 0.401

***

[10]
A relaxed structure of Rb2PmBr5, computed with PBE-GGA.

## Properties
Energy relative to the lowest polymorph listed for this composition, eV/atom: 0.0000
Raw formation energy, eV per formula unit: -14.87

Lattice parameters (Å, degrees): 14.061 9.377 8.820 90.00 90.00 90.00
Fractional positions:
Rb: 0.171 0.006 0.066
Rb: 0.171 0.494 0.066
Rb: 0.329 0.506 0.566
Rb: 0.329 0.994 0.566
Rb: 0.671 0.006 0.434
Rb: 0.671 0.494 0.434
Rb: 0.829 0.506 0.934
Rb: 0.829 0.994 0.934
Pm: 0.005 0.250 0.573
Pm: 0.495 0.750 0.073
Pm: 0.505 0.250 0.927
Pm: 0.995 0.750 0.427
Br: 0.012 0.250 0.908
Br: 0.068 0.545 0.665
Br: 0.068 0.955 0.665
Br: 0.179 0.250 0.391
Br: 0.197 0.750 0.353
Br: 0.303 0.250 0.853
Br: 0.321 0.750 0.891
Br: 0.432 0.045 0.165
Br: 0.432 0.455 0.165
Br: 0.488 0.750 0.408
Br: 0.512 0.250 0.592
Br: 0.568 0.545 0.835
Br: 0.568 0.955 0.835
Br: 0.679 0.250 0.109
Br: 0.697 0.750 0.147
Br: 0.803 0.250 0.647
Br: 0.821 0.750 0.609
Br: 0.932 0.045 0.335
Br: 0.932 0.455 0.335
Br: 0.988 0.750 0.092

***

[11]
A relaxed structure of RbPmBr3, computed with PBE-GGA.

## Properties
Energy relative to the lowest polymorph listed for this composition, eV/atom: 0.1048
Raw formation energy, eV per formula unit: -7.94

Lattice parameters (Å, degrees): 5.795 5.795 5.795 90.00 90.00 90.00
Fractional positions:
Rb: 0.000 0.000 0.000
Pm: 0.500 0.500 0.500
Br: 0.000 0.500 0.500
Br: 0.500 0.000 0.500
Br: 0.500 0.500 0.000

***

[12]
A relaxed structure of RbPmBr3, computed with PBE-GGA.

## Properties
Energy relative to the lowest polymorph listed for this composition, eV/atom: 0.0133
Raw formation energy, eV per formula unit: -8.40

Lattice parameters (Å, degrees): 6.727 7.938 8.245 115.88 97.13 92.31
Fractional positions:
Rb: 0.246 0.157 0.325
Rb: 0.754 0.843 0.675
Pm: 0.000 0.500 0.000
Pm: 0.500 0.500 0.000
Br: 0.197 0.175 0.752
Br: 0.245 0.751 0.902
Br: 0.307 0.613 0.336
Br: 0.693 0.387 0.664
Br: 0.755 0.249 0.098
Br: 0.803 0.825 0.248

***

[13]
A relaxed structure of RbPmBr2, computed with PBE-GGA.

## Properties
Raw formation energy, eV per formula unit: -4.76

Lattice parameters (Å, degrees): 3.991 3.991 32.823 90.00 90.00 120.00
Fractional positions:
Rb: 0.000 0.000 0.000
Rb: 0.333 0.667 0.667
Rb: 0.667 0.333 0.333
Pm: 0.000 0.000 0.500
Pm: 0.333 0.667 0.167
Pm: 0.667 0.333 0.833
Br: 0.000 0.000 0.106
Br: 0.000 0.000 0.894
Br: 0.333 0.667 0.561
Br: 0.333 0.667 0.772
Br: 0.667 0.333 0.228
Br: 0.667 0.333 0.439

***

[14]
A relaxed structure of Rb3Pm2Br9, computed with PBE-GGA.

## Properties
Raw formation energy, eV per formula unit: -25.65

Lattice parameters (Å, degrees): 10.386 10.386 10.386 84.89 84.89 84.89
Fractional positions:
Rb: 0.067 0.750 0.433
Rb: 0.250 0.567 0.933
Rb: 0.433 0.067 0.750
Rb: 0.567 0.933 0.250
Rb: 0.750 0.433 0.067
Rb: 0.933 0.250 0.567
Pm: 0.146 0.146 0.146
Pm: 0.354 0.354 0.354
Pm: 0.646 0.646 0.646
Pm: 0.854 0.854 0.854
Br: 0.066 0.275 0.915
Br: 0.085 0.934 0.725
Br: 0.094 0.406 0.250
Br: 0.225 0.434 0.585
Br: 0.250 0.094 0.406
Br: 0.275 0.915 0.066
Br: 0.406 0.250 0.094
Br: 0.415 0.775 0.566
Br: 0.434 0.585 0.225
Br: 0.566 0.415 0.775
Br: 0.585 0.225 0.434
Br: 0.594 0.750 0.906
Br: 0.725 0.085 0.934
Br: 0.750 0.906 0.594
Br: 0.775 0.566 0.415
Br: 0.906 0.594 0.750
Br: 0.915 0.066 0.275
Br: 0.934 0.725 0.085

***

[15]
A relaxed structure of Rb4Pm6Br19, computed with PBE-GGA.

## Properties
Raw formation energy, eV per formula unit: -51.34

Lattice parameters (Å, degrees): 11.517 11.517 11.517 109.47 109.47 109.47
Fractional positions:
Rb: 0.000 0.000 0.296
Rb: 0.000 0.296 0.000
Rb: 0.296 0.000 0.000
Rb: 0.704 0.704 0.704
Pm: 0.140 0.500 0.640
Pm: 0.360 0.860 0.500
Pm: 0.500 0.360 0.860
Pm: 0.500 0.640 0.140
Pm: 0.640 0.140 0.500
Pm: 0.860 0.500 0.360
Br: 0.000 0.000 0.000
Br: 0.000 0.331 0.331
Br: 0.000 0.669 0.669
Br: 0.045 0.693 0.307
Br: 0.262 0.648 0.955
Br: 0.307 0.045 0.693
Br: 0.307 0.352 0.614
Br: 0.331 0.000 0.331
Br: 0.331 0.331 0.000
Br: 0.352 0.614 0.307
Br: 0.386 0.738 0.693
Br: 0.614 0.307 0.352
Br: 0.648 0.955 0.262
Br: 0.669 0.000 0.669
Br: 0.669 0.669 0.000
Br: 0.693 0.307 0.045
Br: 0.693 0.386 0.738
Br: 0.738 0.693 0.386
Br: 0.955 0.262 0.648

***

[16]
A relaxed structure of Rb2Pm2Br7, computed with PBE-GGA.

## Properties
Raw formation energy, eV per formula unit: -18.76

Lattice parameters (Å, degrees): 7.295 7.295 7.955 90.00 90.00 97.95
Fractional positions:
Rb: 0.234 0.234 0.000
Rb: 0.766 0.766 0.000
Pm: 0.279 0.721 0.500
Pm: 0.721 0.279 0.500
Br: 0.000 0.000 0.500
Br: 0.000 0.500 0.269
Br: 0.000 0.500 0.731
Br: 0.500 0.000 0.269
Br: 0.500 0.000 0.731
Br: 0.500 0.500 0.281
Br: 0.500 0.500 0.719

***

[17]
A relaxed structure of Rb3PmBr8, computed with PBE-GGA.

## Properties
Raw formation energy, eV per formula unit: -16.50

Lattice parameters (Å, degrees): 9.803 9.803 9.803 133.38 133.38 68.07
Fractional positions:
Rb: 0.000 0.000 0.000
Rb: 0.250 0.750 0.500
Rb: 0.750 0.250 0.500
Pm: 0.500 0.500 0.000
Br: 0.167 0.167 0.555
Br: 0.167 0.612 0.000
Br: 0.388 0.388 0.555
Br: 0.388 0.833 0.000
Br: 0.612 0.167 0.000
Br: 0.612 0.612 0.445
Br: 0.833 0.388 0.000
Br: 0.833 0.833 0.445

***

[18]
A relaxed structure of RbPmSBr, computed with PBE-GGA.

## Properties
Raw formation energy, eV per formula unit: -6.23

Lattice parameters (Å, degrees): 7.181 4.155 8.599 90.00 106.13 90.00
Fractional positions:
Rb: 0.000 0.000 0.000
Rb: 0.500 0.500 0.000
Pm: 0.188 0.000 0.566
Pm: 0.688 0.500 0.566
S: 0.081 0.500 0.744
S: 0.581 0.000 0.744
Br: 0.275 0.500 0.325
Br: 0.775 0.000 0.325

***

[19]
A relaxed structure of RbPmScBr6, computed with PBE-GGA.

## Properties
Raw formation energy, eV per formula unit: -15.48

Lattice parameters (Å, degrees): 7.218 7.218 15.842 90.00 90.00 120.00
Fractional positions:
Rb: 0.000 0.000 0.000
Rb: 0.000 0.000 0.500
Pm: 0.333 0.667 0.250
Pm: 0.667 0.333 0.750
Sc: 0.333 0.667 0.750
Sc: 0.667 0.333 0.250
Br: 0.016 0.372 0.646
Br: 0.016 0.644 0.854
Br: 0.356 0.372 0.854
Br: 0.356 0.984 0.646
Br: 0.372 0.016 0.146
Br: 0.372 0.356 0.354
Br: 0.628 0.644 0.646
Br: 0.628 0.984 0.854
Br: 0.644 0.016 0.354
Br: 0.644 0.628 0.146
Br: 0.984 0.356 0.146
Br: 0.984 0.628 0.354